1.
{"formula": "Dy2YHg5", "functional": "GGA-PBE", "state": "relaxed", "total_magnetization_mub_per_fu": 0.0, "density_g_cm3": 11.9, "delta_e_f_ev_per_fu": -3.45, "energy_ev_per_fu": -20.6, "lattice": [[5.142, 0.000, 0.000], [0.000, 3.696, 5.192], [0.000, -3.696, 5.192]], "species": ["Hg", "Hg", "Hg", "Hg", "Hg", "Y", "Dy", "Dy"], "fractional_positions": [[0.500, 0.134, 0.134], [0.500, 0.634, 0.141], [0.000, 0.832, 0.393], [0.000, 0.393, 0.832], [0.500, 0.141, 0.634], [0.000, 0.895, 0.895], [0.500, 0.635, 0.635], [0.000, 0.335, 0.335]]}

---

2.
{"formula": "DyY2Hg", "functional": "GGA-PBE", "state": "relaxed", "total_magnetization_mub_per_fu": 0.0, "density_g_cm3": 7.9, "delta_e_f_ev_per_fu": -0.81, "e_above_lowest_polymorph_mev_per_atom": 0.0, "energy_ev_per_fu": -18.6, "lattice": [[5.130, 0.000, 0.000], [0.000, 5.332, 4.158], [0.000, -5.332, 4.158]], "species": ["Dy", "Dy", "Y", "Y", "Y", "Y", "Hg", "Hg"], "fractional_positions": [[0.250, 0.345, 0.571], [0.750, 0.571, 0.345], [0.750, 0.155, 0.929], [0.750, 0.637, 0.861], [0.250, 0.861, 0.637], [0.250, 0.929, 0.155], [0.250, 0.428, 0.074], [0.750, 0.074, 0.428]]}

---

3.
{"formula": "DyY2Hg", "functional": "GGA-PBE", "state": "relaxed", "total_magnetization_mub_per_fu": 0.1, "density_g_cm3": 7.9, "delta_e_f_ev_per_fu": -0.42, "e_above_lowest_polymorph_mev_per_atom": 99.1, "energy_ev_per_fu": -18.2, "lattice": [[5.414, 0.000, 0.000], [0.000, 3.684, 5.699], [0.000, -3.684, 5.699]], "species": ["Y", "Y", "Y", "Y", "Hg", "Hg", "Dy", "Dy"], "fractional_positions": [[0.000, 0.346, 0.835], [0.000, 0.849, 0.849], [0.500, 0.152, 0.152], [0.000, 0.835, 0.346], [0.500, 0.659, 0.159], [0.500, 0.159, 0.659], [0.000, 0.348, 0.348], [0.500, 0.652, 0.652]]}

---

4.
{"formula": "DyY2Hg", "functional": "GGA-PBE", "state": "relaxed", "total_magnetization_mub_per_fu": 0.2, "density_g_cm3": 8.1, "delta_e_f_ev_per_fu": -0.69, "e_above_lowest_polymorph_mev_per_atom": 31.5, "energy_ev_per_fu": -18.5, "lattice": [[-2.283, 3.275, -5.580], [-4.252, -1.126, 5.266], [1.461, 4.763, 2.198]], "species": ["Hg", "Hg", "Dy", "Dy", "Y", "Y", "Y", "Y"], "fractional_positions": [[0.667, 0.333, 0.250], [0.333, 0.667, 0.750], [0.172, 0.828, 0.250], [0.828, 0.172, 0.750], [0.830, 0.656, 0.750], [0.344, 0.170, 0.750], [0.170, 0.344, 0.250], [0.656, 0.830, 0.250]]}

---

Please write out number 4 again, unchanged.
{"formula": "DyY2Hg", "functional": "GGA-PBE", "state": "relaxed", "total_magnetization_mub_per_fu": 0.2, "density_g_cm3": 8.1, "delta_e_f_ev_per_fu": -0.69, "e_above_lowest_polymorph_mev_per_atom": 31.5, "energy_ev_per_fu": -18.5, "lattice": [[-2.283, 3.275, -5.580], [-4.252, -1.126, 5.266], [1.461, 4.763, 2.198]], "species": ["Hg", "Hg", "Dy", "Dy", "Y", "Y", "Y", "Y"], "fractional_positions": [[0.667, 0.333, 0.250], [0.333, 0.667, 0.750], [0.172, 0.828, 0.250], [0.828, 0.172, 0.750], [0.830, 0.656, 0.750], [0.344, 0.170, 0.750], [0.170, 0.344, 0.250], [0.656, 0.830, 0.250]]}